Entry 1
{"formula": "HPtI", "functional": "PBE-GGA", "state": "relaxed", "dos_ef_per_ev_atom": 0.087, "total_magnetization_mub_per_cell": 0.000, "space_group": "No. 62", "lattice_angstrom": [[7.220, 0.000, 0.000], [0.000, 4.519, 0.000], [0.000, 0.000, 8.245]], "species": ["H", "H", "H", "H", "Pt", "Pt", "Pt", "Pt", "I", "I", "I", "I"], "fractional_positions": [[0.077, 0.250, 0.031], [0.423, 0.750, 0.531], [0.577, 0.250, 0.469], [0.923, 0.750, 0.969], [0.213, 0.750, 0.575], [0.287, 0.250, 0.075], [0.713, 0.750, 0.925], [0.787, 0.250, 0.425], [0.171, 0.250, 0.380], [0.329, 0.750, 0.880], [0.671, 0.250, 0.120], [0.829, 0.750, 0.620]]}

***

Entry 2
{"formula": "HPtI", "functional": "PBE-GGA", "state": "relaxed", "dos_ef_per_ev_atom": 0.254, "total_magnetization_mub_per_cell": 0.000, "space_group": "No. 74", "lattice_angstrom": [[-2.753, 3.897, 3.094], [2.753, -3.897, 3.094], [2.753, 3.897, -3.094]], "species": ["H", "H", "Pt", "Pt", "I", "I"], "fractional_positions": [[0.325, 0.075, 0.250], [0.675, 0.925, 0.750], [0.500, 0.000, 0.000], [0.500, 0.500, 0.500], [0.000, 0.500, 0.500], [0.500, 0.500, 0.000]]}

***

Entry 3
{"formula": "HPtI", "functional": "PBE-GGA", "state": "relaxed", "total_magnetization_mub_per_cell": 0.000, "space_group": "No. 1", "lattice_angstrom": [[3.954, 0.000, 0.000], [0.006, 4.527, 0.000], [0.003, 2.166, 8.105]], "species": ["H", "H", "Pt", "Pt", "I", "I"], "fractional_positions": [[0.000, 0.000, 0.000], [0.500, 0.000, 0.000], [0.250, 0.173, 0.117], [0.750, 0.289, 0.888], [0.249, 0.527, 0.686], [0.749, 0.205, 0.320]]}

***

Most stable: entry 3

***

Entry 1
{"formula": "TeHPtI2", "functional": "PBE-GGA", "state": "relaxed", "dos_ef_per_ev_atom": 1.038, "total_magnetization_mub_per_cell": 0.000, "space_group": "No. 123", "lattice_angstrom": [[5.548, 0.000, 0.000], [0.000, 5.548, 0.000], [0.000, 0.000, 3.749]], "species": ["Te", "H", "Pt", "I", "I"], "fractional_positions": [[0.000, 0.000, 0.000], [0.000, 0.000, 0.500], [0.500, 0.500, 0.000], [0.000, 0.500, 0.500], [0.500, 0.000, 0.500]]}

***

Entry 2
{"formula": "TeHPtI2", "functional": "PBE-GGA", "state": "relaxed", "dos_ef_per_ev_atom": 0.671, "total_magnetization_mub_per_cell": 1.488, "space_group": "No. 123", "lattice_angstrom": [[5.701, 0.000, 0.000], [0.000, 5.701, 0.000], [0.000, 0.000, 5.141]], "species": ["Te", "H", "Pt", "I", "I"], "fractional_positions": [[0.000, 0.000, 0.000], [0.500, 0.500, 0.000], [0.000, 0.000, 0.500], [0.000, 0.500, 0.500], [0.500, 0.000, 0.500]]}

***

Most stable: entry 2

***

Entry 1
{"formula": "RbH2I2", "functional": "PBE-GGA", "state": "relaxed", "dos_ef_per_ev_atom": 0.288, "total_magnetization_mub_per_cell": 0.923, "space_group": "No. 15", "lattice_angstrom": [[8.002, -2.076, 0.000], [8.002, 2.076, 0.000], [-2.763, 0.000, 9.993]], "species": ["Rb", "Rb", "H", "H", "H", "H", "I", "I", "I", "I"], "fractional_positions": [[0.193, 0.807, 0.750], [0.807, 0.193, 0.250], [0.065, 0.662, 0.904], [0.338, 0.935, 0.596], [0.662, 0.065, 0.404], [0.935, 0.338, 0.096], [0.162, 0.561, 0.404], [0.439, 0.838, 0.096], [0.561, 0.162, 0.904], [0.838, 0.439, 0.596]]}

***

Entry 2
{"formula": "RbH2I2", "functional": "PBE-GGA", "state": "relaxed", "dos_ef_per_ev_atom": 0.211, "total_magnetization_mub_per_cell": 1.977, "space_group": "No. 15", "lattice_angstrom": [[5.902, -2.827, 0.000], [5.902, 2.827, 0.000], [-5.251, 0.000, 9.610]], "species": ["Rb", "Rb", "H", "H", "H", "H", "I", "I", "I", "I"], "fractional_positions": [[0.086, 0.914, 0.750], [0.914, 0.086, 0.250], [0.445, 0.486, 0.986], [0.486, 0.445, 0.486], [0.514, 0.555, 0.514], [0.555, 0.514, 0.014], [0.176, 0.327, 0.123], [0.327, 0.176, 0.623], [0.673, 0.824, 0.377], [0.824, 0.673, 0.877]]}

***

Most stable: entry 2

***

Entry 1
{"formula": "RbH3I", "functional": "PBE-GGA", "state": "relaxed", "dos_ef_per_ev_atom": 0.070, "total_magnetization_mub_per_cell": 1.938, "space_group": "No. 63", "lattice_angstrom": [[2.412, -7.033, 0.000], [2.412, 7.033, 0.000], [0.000, 0.000, 6.270]], "species": ["Rb", "Rb", "H", "H", "H", "H", "H", "H", "I", "I"], "fractional_positions": [[0.116, 0.884, 0.750], [0.884, 0.116, 0.250], [0.274, 0.726, 0.250], [0.279, 0.721, 0.096], [0.279, 0.721, 0.404], [0.721, 0.279, 0.596], [0.721, 0.279, 0.904], [0.726, 0.274, 0.750], [0.400, 0.600, 0.750], [0.600, 0.400, 0.250]]}

***

Entry 2
{"formula": "RbH3I", "functional": "PBE-GGA", "state": "relaxed", "dos_ef_per_ev_atom": 0.137, "total_magnetization_mub_per_cell": 3.000, "space_group": "No. 221", "lattice_angstrom": [[5.098, 0.000, 0.000], [0.000, 5.098, 0.000], [0.000, 0.000, 5.098]], "species": ["Rb", "H", "H", "H", "I"], "fractional_positions": [[0.000, 0.000, 0.000], [0.000, 0.000, 0.500], [0.000, 0.500, 0.000], [0.500, 0.000, 0.000], [0.500, 0.500, 0.500]]}

***

Entry 3
{"formula": "RbH3I", "functional": "PBE-GGA", "state": "relaxed", "dos_ef_per_ev_atom": 0.168, "total_magnetization_mub_per_cell": 0.000, "space_group": "No. 221", "lattice_angstrom": [[4.603, 0.000, 0.000], [0.000, 4.603, 0.000], [0.000, 0.000, 4.603]], "species": ["Rb", "H", "H", "H", "I"], "fractional_positions": [[0.000, 0.000, 0.000], [0.000, 0.500, 0.500], [0.500, 0.000, 0.500], [0.500, 0.500, 0.000], [0.500, 0.500, 0.500]]}

***

Most stable: entry 1

***

Entry 1
{"formula": "Rb4HI3", "functional": "PBE-GGA", "state": "relaxed", "dos_ef_per_ev_atom": 0.000, "total_magnetization_mub_per_cell": 0.052, "space_group": "No. 65", "lattice_angstrom": [[5.127, -7.209, 0.000], [5.127, 7.209, 0.000], [0.000, 0.000, 5.119]], "species": ["Rb", "Rb", "Rb", "Rb", "H", "I", "I", "I"], "fractional_positions": [[0.230, 0.230, 0.500], [0.232, 0.768, 0.000], [0.768, 0.232, 0.000], [0.770, 0.770, 0.500], [0.000, 0.000, 0.000], [0.000, 0.500, 0.500], [0.500, 0.000, 0.500], [0.500, 0.500, 0.000]]}

***

Entry 2
{"formula": "Rb4HI3", "functional": "PBE-GGA", "state": "relaxed", "dos_ef_per_ev_atom": 0.000, "total_magnetization_mub_per_cell": 0.091, "space_group": "No. 13", "lattice_angstrom": [[8.906, 0.000, 0.000], [0.000, 10.283, 0.000], [-2.927, 0.000, 8.245]], "species": ["Rb", "Rb", "Rb", "Rb", "Rb", "Rb", "Rb", "Rb", "H", "H", "I", "I", "I", "I", "I", "I"], "fractional_positions": [[0.216, 0.108, 0.005], [0.216, 0.892, 0.505], [0.244, 0.361, 0.488], [0.244, 0.639, 0.988], [0.756, 0.361, 0.012], [0.756, 0.639, 0.512], [0.784, 0.108, 0.495], [0.784, 0.892, 0.995], [0.000, 0.102, 0.250], [0.000, 0.898, 0.750], [0.000, 0.375, 0.750], [0.000, 0.625, 0.250], [0.500, 0.122, 0.750], [0.500, 0.370, 0.250], [0.500, 0.630, 0.750], [0.500, 0.878, 0.250]]}

***

Most stable: entry 2

***

Entry 1
{"formula": "RbSbHI2", "functional": "PBE-GGA", "state": "relaxed", "dos_ef_per_ev_atom": 2.162, "total_magnetization_mub_per_cell": 4.488, "space_group": "No. 123", "lattice_angstrom": [[7.027, 0.000, 0.000], [0.000, 7.027, 0.000], [0.000, 0.000, 7.908]], "species": ["Rb", "Sb", "H", "I", "I"], "fractional_positions": [[0.000, 0.000, 0.000], [0.000, 0.000, 0.500], [0.500, 0.500, 0.500], [0.000, 0.500, 0.000], [0.500, 0.000, 0.000]]}

***

Entry 2
{"formula": "RbSbHI2", "functional": "PBE-GGA", "state": "relaxed", "dos_ef_per_ev_atom": 0.635, "total_magnetization_mub_per_cell": 0.032, "space_group": "No. 123", "lattice_angstrom": [[6.140, 0.000, 0.000], [0.000, 6.140, 0.000], [0.000, 0.000, 4.051]], "species": ["Rb", "Sb", "H", "I", "I"], "fractional_positions": [[0.000, 0.000, 0.000], [0.500, 0.500, 0.000], [0.500, 0.500, 0.500], [0.000, 0.500, 0.500], [0.500, 0.000, 0.500]]}

***

Most stable: entry 2

***

Entry 1
{"formula": "Re2H2I", "functional": "PBE-GGA", "state": "relaxed", "dos_ef_per_ev_atom": 0.918, "total_magnetization_mub_per_cell": 0.000, "space_group": "No. 139", "lattice_angstrom": [[-1.895, 1.895, 4.942], [1.895, -1.895, 4.942], [1.895, 1.895, -4.942]], "species": ["Re", "Re", "H", "H", "I"], "fractional_positions": [[0.250, 0.750, 0.500], [0.750, 0.250, 0.500], [0.193, 0.193, 0.000], [0.807, 0.807, 0.000], [0.500, 0.500, 0.000]]}

***

Entry 2
{"formula": "Re2H2I", "functional": "PBE-GGA", "state": "relaxed", "dos_ef_per_ev_atom": 0.998, "total_magnetization_mub_per_cell": 0.007, "space_group": "No. 139", "lattice_angstrom": [[-1.636, 1.636, 5.962], [1.636, -1.636, 5.962], [1.636, 1.636, -5.962]], "species": ["Re", "Re", "H", "H", "I"], "fractional_positions": [[0.180, 0.180, 0.000], [0.820, 0.820, 0.000], [0.250, 0.750, 0.500], [0.750, 0.250, 0.500], [0.500, 0.500, 0.000]]}

***

Most stable: entry 2

***

Entry 1
{"formula": "Re2H2I", "functional": "PBE-GGA", "state": "relaxed", "dos_ef_per_ev_atom": 1.014, "total_magnetization_mub_per_cell": 0.000, "space_group": "No. 127", "lattice_angstrom": [[6.263, 0.000, 0.000], [0.000, 6.263, 0.000], [0.000, 0.000, 3.120]], "species": ["Re", "Re", "Re", "Re", "H", "H", "H", "H", "I", "I"], "fractional_positions": [[0.138, 0.362, 0.000], [0.362, 0.862, 0.000], [0.638, 0.138, 0.000], [0.862, 0.638, 0.000], [0.085, 0.585, 0.500], [0.415, 0.085, 0.500], [0.585, 0.915, 0.500], [0.915, 0.415, 0.500], [0.000, 0.000, 0.500], [0.500, 0.500, 0.500]]}

***

Entry 2
{"formula": "Re2H2I", "functional": "PBE-GGA", "state": "relaxed", "dos_ef_per_ev_atom": 0.636, "total_magnetization_mub_per_cell": 0.000, "space_group": "No. 127", "lattice_angstrom": [[6.974, 0.000, 0.000], [0.000, 6.974, 0.000], [0.000, 0.000, 2.935]], "species": ["Re", "Re", "Re", "Re", "H", "H", "H", "H", "I", "I"], "fractional_positions": [[0.116, 0.384, 0.000], [0.384, 0.884, 0.000], [0.616, 0.116, 0.000], [0.884, 0.616, 0.000], [0.097, 0.597, 0.500], [0.403, 0.097, 0.500], [0.597, 0.903, 0.500], [0.903, 0.403, 0.500], [0.000, 0.000, 0.000], [0.500, 0.500, 0.000]]}

***

Most stable: entry 2

***

Entry 1
{"formula": "ReH2I", "functional": "PBE-GGA", "state": "relaxed", "dos_ef_per_ev_atom": 0.834, "total_magnetization_mub_per_cell": 0.003, "space_group": "No. 122", "lattice_angstrom": [[-2.943, 2.943, 2.959], [2.943, -2.943, 2.959], [2.943, 2.943, -2.959]], "species": ["Re", "Re", "H", "H", "H", "H", "I", "I"], "fractional_positions": [[0.000, 0.000, 0.000], [0.750, 0.250, 0.500], [0.375, 0.244, 0.369], [0.756, 0.125, 0.131], [0.875, 0.006, 0.631], [0.994, 0.625, 0.869], [0.250, 0.750, 0.500], [0.500, 0.500, 0.000]]}

***

Entry 2
{"formula": "ReH2I", "functional": "PBE-GGA", "state": "relaxed", "dos_ef_per_ev_atom": 0.575, "total_magnetization_mub_per_cell": 0.953, "space_group": "No. 225", "lattice_angstrom": [[0.000, 2.877, 2.877], [2.877, 0.000, 2.877], [2.877, 2.877, 0.000]], "species": ["Re", "H", "H", "I"], "fractional_positions": [[0.000, 0.000, 0.000], [0.250, 0.250, 0.250], [0.750, 0.750, 0.750], [0.500, 0.500, 0.500]]}

***

Most stable: entry 1

***

Entry 1
{"formula": "ReSbHI2", "functional": "PBE-GGA", "state": "relaxed", "dos_ef_per_ev_atom": 0.613, "total_magnetization_mub_per_cell": 2.548, "space_group": "No. 123", "lattice_angstrom": [[5.710, 0.000, 0.000], [0.000, 5.710, 0.000], [0.000, 0.000, 5.095]], "species": ["Re", "Sb", "H", "I", "I"], "fractional_positions": [[0.000, 0.000, 0.000], [0.000, 0.000, 0.500], [0.500, 0.500, 0.500], [0.000, 0.500, 0.000], [0.500, 0.000, 0.000]]}

***

Entry 2
{"formula": "ReSbHI2", "functional": "PBE-GGA", "state": "relaxed", "dos_ef_per_ev_atom": 0.813, "total_magnetization_mub_per_cell": 0.000, "space_group": "No. 123", "lattice_angstrom": [[5.211, 0.000, 0.000], [0.000, 5.211, 0.000], [0.000, 0.000, 3.764]], "species": ["Re", "Sb", "H", "I", "I"], "fractional_positions": [[0.000, 0.000, 0.000], [0.500, 0.500, 0.000], [0.500, 0.500, 0.500], [0.000, 0.500, 0.500], [0.500, 0.000, 0.500]]}

***

Most stable: entry 1

***

Entry 1
{"formula": "ReSb2HI", "functional": "PBE-GGA", "state": "relaxed", "dos_ef_per_ev_atom": 0.718, "total_magnetization_mub_per_cell": 1.723, "space_group": "No. 123", "lattice_angstrom": [[4.355, 0.000, 0.000], [0.000, 4.355, 0.000], [0.000, 0.000, 5.286]], "species": ["Re", "Sb", "Sb", "H", "I"], "fractional_positions": [[0.000, 0.000, 0.000], [0.000, 0.500, 0.500], [0.500, 0.000, 0.500], [0.500, 0.500, 0.500], [0.500, 0.500, 0.000]]}

***

Entry 2
{"formula": "ReSb2HI", "functional": "PBE-GGA", "state": "relaxed", "dos_ef_per_ev_atom": 0.847, "total_magnetization_mub_per_cell": 0.597, "space_group": "No. 123", "lattice_angstrom": [[5.090, 0.000, 0.000], [0.000, 5.090, 0.000], [0.000, 0.000, 6.036]], "species": ["Re", "Sb", "Sb", "H", "I"], "fractional_positions": [[0.000, 0.000, 0.000], [0.000, 0.500, 0.000], [0.500, 0.000, 0.000], [0.500, 0.500, 0.500], [0.000, 0.000, 0.500]]}

***

Most stable: entry 2

***

Entry 1
{"formula": "ReTeHI2", "functional": "PBE-GGA", "state": "relaxed", "dos_ef_per_ev_atom": 0.765, "total_magnetization_mub_per_cell": 2.528, "space_group": "No. 123", "lattice_angstrom": [[5.711, 0.000, 0.000], [0.000, 5.711, 0.000], [0.000, 0.000, 5.083]], "species": ["Re", "Te", "H", "I", "I"], "fractional_positions": [[0.000, 0.000, 0.000], [0.000, 0.000, 0.500], [0.500, 0.500, 0.500], [0.000, 0.500, 0.000], [0.500, 0.000, 0.000]]}

***

Entry 2
{"formula": "ReTeHI2", "functional": "PBE-GGA", "state": "relaxed", "dos_ef_per_ev_atom": 0.867, "total_magnetization_mub_per_cell": 0.000, "space_group": "No. 123", "lattice_angstrom": [[5.338, 0.000, 0.000], [0.000, 5.338, 0.000], [0.000, 0.000, 3.707]], "species": ["Re", "Te", "H", "I", "I"], "fractional_positions": [[0.000, 0.000, 0.000], [0.500, 0.500, 0.000], [0.500, 0.500, 0.500], [0.000, 0.500, 0.500], [0.500, 0.000, 0.500]]}

***

Most stable: entry 1